1.
First-principles (PBE-GGA) data for Sr3HfTl after structural relaxation, as listed in the Alexandria database.

Calculated values
For the density of states at the Fermi level, the calculation gives 7.175 states/eV/f.u. The calculation puts the formation energy at 0.83 eV/atom. The energy above the most stable polymorph in this dataset comes out at 0.078 eV per atom.

Lattice parameters (Å, degrees): 6.131 6.131 6.131 90.00 90.00 90.00
Space group Pm-3m (No. 221)
Symmetry-distinct sites (fractional):
Sr (0.000, 0.000, 0.500)
Hf (0.000, 0.000, 0.000)
Tl (0.500, 0.500, 0.500)

2.
First-principles (PBE-GGA) data for PmPuTcGe after structural relaxation, as listed in the Alexandria database.

Calculated values
For the density of states at the Fermi level, the calculation gives 9.127 states/eV/f.u. The calculation puts the formation energy at -0.05 eV/atom.

Lattice parameters (Å, degrees): 7.056 7.056 7.056 90.00 90.00 90.00
Space group F-43m (No. 216)
Symmetry-distinct sites (fractional):
Pm (0.000, 0.000, 0.000)
Pu (0.000, 0.000, 0.500)
Tc (0.250, 0.250, 0.250)
Ge (0.250, 0.250, 0.750)

3.
First-principles (PBE-GGA) data for Tl3In4Pb2 after structural relaxation, as listed in the Alexandria database.

Calculated values
For the density of states at the Fermi level, the calculation gives 2.899 states/eV/f.u. The calculation puts the formation energy at 0.03 eV/atom. The energy above the most stable polymorph in this dataset comes out at 0.012 eV per atom.

Lattice parameters (Å, degrees): 16.134 11.409 5.858 90.00 100.05 90.00
Space group C2/c (No. 15)
Symmetry-distinct sites (fractional):
Tl (0.000, 0.135, 0.250)
Tl (0.165, 0.379, 0.089)
In (0.054, 0.378, 0.534)
In (0.226, 0.130, 0.359)
Pb (0.114, 0.119, 0.805)